TcTe2Mo | GGA-PBEsol | optimized geometry

The calculation puts the formation energy from raw total energies at 0.357 eV/atom. The value obtained for the energy above the most stable polymorph in this dataset is 96 meV/atom. The calculation puts the total magnetic moment at 0.01 μB per cell. For the total energy, the calculation gives -28.66 eV per formula unit.

abc: 3.2170 3.2170 24.4152
angles: 90.00 90.00 120.00
Space group R-3m (No. 166, hexagonal axes)
Asymmetric unit:
Tc1 0.0000 0.0000 0.0000 (multiplicity 3)
Te1 0.0000 0.0000 0.2507 (multiplicity 6)
Mo1 0.0000 0.0000 0.5000 (multiplicity 3)